[1]
! AcPmSnBi | Alexandria via LeMat-Bulk | PBE | optimized geometry; values from VASP
! - DOS at the Fermi energy: 5.1 states/eV/f.u.
! - Energy of formation: -0.603 eV per atom
! - SG: F-43m (216)
! - Calculated density: 8.8 g/cm³
&SYSTEM
  ibrav = 0, nat = 4, ntyp = 4
/
ATOMIC_SPECIES
Ac 227.00 Ac.upf
Pm 145.00 Pm.upf
Sn 118.71 Sn.upf
Bi 208.98 Bi.upf
ATOMIC_POSITIONS crystal
Ac 0.000 0.000 0.000
Pm 0.500 0.500 0.500
Sn 0.750 0.750 0.750
Bi 0.250 0.250 0.250
CELL_PARAMETERS angstrom
0.000 4.042 4.042
4.042 0.000 4.042
4.042 4.042 0.000


[2]
! SnSbIO2 | Alexandria via LeMat-Bulk | PBE | optimized geometry; values from VASP
! - DOS at the Fermi energy: 3.2 states/eV/f.u.
! - SG: P4/mmm (123)
! - Calculated density: 5.8 g/cm³
! - Total energy: -4.150 eV per atom
&SYSTEM
  ibrav = 0, nat = 5, ntyp = 4
/
ATOMIC_SPECIES
Sn 118.71 Sn.upf
Sb 121.76 Sb.upf
I 126.90 I.upf
O 16.00 O.upf
ATOMIC_POSITIONS crystal
Sn 0.000 0.000 0.000
Sb 0.500 0.500 0.500
I 0.500 0.500 0.000
O 0.000 0.500 0.500
O 0.500 0.000 0.500
CELL_PARAMETERS angstrom
4.351 0.000 0.000
0.000 4.351 0.000
0.000 0.000 6.049


[3]
! La5Br | Alexandria via LeMat-Bulk | PBE | optimized geometry; values from VASP
! - E above lowest polymorph: 0 meV per atom
! - DOS at the Fermi energy: 8.4 states/eV/f.u.
! - SG: Amm2 (38)
! - Calculated density: 6.4 g/cm³
&SYSTEM
  ibrav = 0, nat = 6, ntyp = 2
/
ATOMIC_SPECIES
La 138.91 La.upf
Br 79.90 Br.upf
ATOMIC_POSITIONS crystal
La 0.000 0.000 0.000
La 0.000 0.312 0.312
La 0.500 0.183 0.183
La 0.500 0.528 0.528
La 0.500 0.863 0.863
Br 0.000 0.643 0.643
CELL_PARAMETERS angstrom
5.776 0.000 0.000
0.000 1.852 9.454
0.000 -1.852 9.454


[4]
! HoH2Br | Alexandria via LeMat-Bulk | PBE | optimized geometry; values from VASP
! - DOS at the Fermi energy: 0.0 states/eV/f.u.
! - SG: R-3m (166)
! - Calculated density: 7.1 g/cm³
! - Total energy: -4.158 eV per atom
&SYSTEM
  ibrav = 0, nat = 4, ntyp = 3
/
ATOMIC_SPECIES
Ho 164.93 Ho.upf
H 1.01 H.upf
Br 79.90 Br.upf
ATOMIC_POSITIONS crystal
Ho 0.000 0.000 0.000
H 0.306 0.306 0.306
H 0.694 0.694 0.694
Br 0.500 0.500 0.500
CELL_PARAMETERS angstrom
1.845 1.065 4.867
-1.845 1.065 4.867
0.000 -2.131 4.867